Record 1
# VAg3Cl

A relaxed structure of VAg3Cl (PBE, Alexandria).

Geometry as POSCAR:
```
VAg3Cl
1.0
4.9796 0.0000 0.0000
0.0000 4.9796 0.0000
0.0000 0.0000 4.9796
V Ag Cl
1 3 1
Cartesian
0.0000 0.0000 0.0000
0.0000 2.4898 2.4898
2.4898 0.0000 2.4898
2.4898 2.4898 0.0000
2.4898 2.4898 2.4898
```

## Properties
crystal system	cubic
offset from the most stable computed form	0.000	kcal/mol of atoms
symmetry	Pm-3m (221)
volume	24.69	Å³ per atom

=====

Record 2
# VAgCl2

A relaxed structure of VAgCl2 (PBE, Alexandria).

Geometry as POSCAR:
```
VAgCl2
1.0
1.8266 1.0546 8.1618
-1.8266 1.0546 8.1618
0.0000 -2.1092 8.1618
V Ag Cl
1 1 2
Cartesian
0.0000 0.0000 0.0000
0.0000 0.0000 12.2427
0.0000 0.0000 2.3388
0.0000 0.0000 22.1465
```

## Properties
crystal system	trigonal
offset from the most stable computed form	9.611	kcal/mol of atoms
symmetry	R-3m (166)
volume	23.58	Å³ per atom

=====

Record 3
# V2AgCl8

A relaxed structure of V2AgCl8 (PBE, Alexandria).

Geometry as POSCAR:
```
V2AgCl8
1.0
5.7075 -5.1418 0.0000
5.7075 5.1418 0.0000
-0.3329 0.0000 6.2903
V Ag Cl
2 1 8
Cartesian
2.3808 0.0000 0.8222
8.7013 0.0000 5.4681
-0.1665 0.0000 3.1451
4.0938 3.3796 4.7199
2.0228 0.0000 4.9181
6.9883 3.3796 1.5703
4.4041 0.0000 1.5673
6.6780 0.0000 4.7230
4.0938 -3.3796 4.7199
9.0592 0.0000 1.3722
6.9883 -3.3796 1.5703
```

## Properties
crystal system	monoclinic
uncorrected energy	-46.96	eV for the cell shown
symmetry	C2/m (12)
volume	33.56	Å³ per atom

=====

Record 4
# VAgCl3

A relaxed structure of VAgCl3 (PBE, Alexandria).

Geometry as POSCAR:
```
VAgCl3
1.0
4.8633 0.0000 0.0000
0.0000 4.8633 0.0000
0.0000 0.0000 4.8633
V Ag Cl
1 1 3
Cartesian
0.0000 0.0000 0.0000
2.4317 2.4317 2.4317
0.0000 0.0000 2.4317
0.0000 2.4317 0.0000
2.4317 0.0000 0.0000
```

## Properties
crystal system	cubic
offset from the most stable computed form	0.000	kcal/mol of atoms
symmetry	Pm-3m (221)
volume	23.01	Å³ per atom

=====

Record 5
# VAgCl3

A relaxed structure of VAgCl3 (PBE, Alexandria).

Geometry as POSCAR:
```
VAgCl3
1.0
5.0512 0.0000 0.0000
0.0000 5.0512 0.0000
0.0000 0.0000 5.0512
V Ag Cl
1 1 3
Cartesian
0.0000 0.0000 0.0000
2.5256 2.5256 2.5256
0.0000 2.5256 2.5256
2.5256 0.0000 2.5256
2.5256 2.5256 0.0000
```

## Properties
crystal system	cubic
offset from the most stable computed form	16.448	kcal/mol of atoms
symmetry	Pm-3m (221)
volume	25.78	Å³ per atom

=====

Record 6
# V3AgCl

A relaxed structure of V3AgCl (PBE, Alexandria).

Geometry as POSCAR:
```
V3AgCl
1.0
4.3067 0.0000 0.0000
0.0000 4.3067 0.0000
0.0000 0.0000 4.3067
V Ag Cl
3 1 1
Cartesian
0.0000 0.0000 2.1533
0.0000 2.1533 0.0000
2.1533 0.0000 0.0000
2.1533 2.1533 2.1533
0.0000 0.0000 0.0000
```

## Properties
crystal system	cubic
offset from the most stable computed form	0.000	kcal/mol of atoms
symmetry	Pm-3m (221)
volume	15.98	Å³ per atom

=====

Record 7
# VAg6Cl12

A relaxed structure of VAg6Cl12 (PBE, Alexandria).

Geometry as POSCAR:
```
VAg6Cl12
1.0
5.6752 3.2766 4.3014
-5.6752 3.2766 4.3014
0.0000 -6.5532 4.3014
V Ag Cl
1 6 12
Cartesian
0.0000 0.0000 0.0000
-2.7753 0.2772 4.5825
1.1476 -2.5420 4.5825
-1.6277 -2.2649 8.3216
1.6277 2.2649 4.5825
-1.1476 2.5421 8.3216
2.7753 -0.2772 8.3216
-3.8163 -3.5066 7.2719
-4.9450 1.5517 5.6322
-1.2307 -1.9140 4.9512
1.1287 -5.0583 5.6322
-1.0422 2.0228 4.9512
-2.2729 0.1089 7.9529
2.2729 -0.1089 4.9512
1.0422 -2.0228 7.9529
-1.1287 5.0583 7.2719
1.2308 1.9140 7.9529
4.9450 -1.5517 7.2719
3.8163 3.5066 5.6322
```

## Properties
crystal system	trigonal
uncorrected energy	-59.67	eV for the cell shown
symmetry	R-3 (148)
volume	25.26	Å³ per atom

=====

Record 8
# VAgCl5

A relaxed structure of VAgCl5 (PBE, Alexandria).

Geometry as POSCAR:
```
VAgCl5
1.0
7.7652 0.0000 0.0000
-2.4531 8.9483 0.0000
-2.4462 -4.0753 7.9729
V Ag Cl
2 2 10
Cartesian
0.7155 -0.1168 2.8140
2.1505 4.9898 5.1589
-1.2265 4.4741 0.0000
2.6561 4.4741 0.0000
-2.6807 7.0014 2.1896
-0.7220 1.4622 3.0088
-1.7311 1.5693 7.2513
2.1654 0.4232 1.3328
1.6466 -0.4177 4.7334
1.2194 5.2907 3.2395
0.7007 4.4498 6.6400
4.5971 3.3037 0.7216
3.5880 3.4108 4.9641
5.5467 -2.1284 5.7833
```

## Properties
crystal system	triclinic
offset from the most stable computed form	0.000	kcal/mol of atoms
symmetry	P-1 (2)
volume	39.57	Å³ per atom

=====

Record 9
# AgWCl2

A relaxed structure of AgWCl2 (PBE, Alexandria).

Geometry as POSCAR:
```
AgWCl2
1.0
2.9872 0.0000 0.0000
0.0000 2.9872 0.0000
0.0000 0.0000 9.8822
Ag W Cl
1 1 2
Cartesian
0.0000 0.0000 0.0000
0.0000 0.0000 4.9411
1.4936 1.4936 3.4405
1.4936 1.4936 6.4417
```

## Properties
crystal system	tetragonal
offset from the most stable computed form	10.781	kcal/mol of atoms
symmetry	P4/mmm (123)
volume	22.05	Å³ per atom

=====

Record 10
# AgWCl2

A relaxed structure of AgWCl2 (PBE, Alexandria).

Geometry as POSCAR:
```
AgWCl2
1.0
-3.1193 3.1193 5.1344
3.1193 -3.1193 5.1344
3.1193 3.1193 -5.1344
Ag W Cl
2 2 4
Cartesian
0.0000 0.0000 0.0000
0.0000 3.1193 2.5672
3.1193 0.0000 2.5672
0.0000 0.0000 5.1344
1.5596 -1.1436 3.8508
1.9757 1.5596 1.2836
1.5596 4.2628 -1.2836
1.1436 1.5596 6.4180
```

## Properties
crystal system	tetragonal
offset from the most stable computed form	19.423	kcal/mol of atoms
symmetry	I-42d (122)
volume	24.98	Å³ per atom

=====

Record 11
# AgW2Cl

A relaxed structure of AgW2Cl (PBE, Alexandria).

Geometry as POSCAR:
```
AgW2Cl
1.0
2.7240 -1.5711 0.0000
2.7240 1.5711 0.0000
-0.3554 0.0000 9.0023
Ag W Cl
1 2 1
Cartesian
0.0000 0.0000 0.0000
1.4636 0.0000 4.9047
3.2795 0.0000 6.6807
3.2781 0.0000 2.9924
```

## Properties
crystal system	monoclinic
offset from the most stable computed form	0.000	kcal/mol of atoms
symmetry	Cm (8)
volume	19.26	Å³ per atom

=====

Record 12
# AgWCl2

A relaxed structure of AgWCl2 (PBE, Alexandria).

Geometry as POSCAR:
```
AgWCl2
1.0
5.2878 -1.4728 0.0000
5.2878 1.4728 0.0000
-2.7954 0.0000 6.5034
Ag W Cl
1 1 2
Cartesian
0.0000 0.0000 0.0000
2.7851 0.0000 0.0029
5.1521 0.0000 4.5937
7.9477 0.0000 1.9158
```

## Properties
crystal system	monoclinic
offset from the most stable computed form	1.232	kcal/mol of atoms
symmetry	Cm (8)
volume	25.32	Å³ per atom